DFT (PBE) results for a relaxed structure of InCo3Bi.

a = 4.7243 Å, b = 4.7243 Å, c = 4.7243 Å
α = 90.00°, β = 90.00°, γ = 90.00°
With the nearest neighbours (Å) after each atom.
Fractional coordinates of all 5 atoms:
1 In 0.0000 0.0000 0.0000  6 Co 2.36
2 Co 0.0000 0.0000 0.5000  2 In 2.36
3 Co 0.0000 0.5000 0.0000  2 In 2.36
4 Co 0.5000 0.0000 0.0000  2 In 2.36
5 Bi 0.5000 0.5000 0.5000  12 Co 3.34

Values from the calculation:
The calculation puts the density at 7.88 g/cm3. The value obtained for the formation energy is 6.3 eV per formula unit. As for the volume: 105.4 Å³ per cell.


DFT (PBE) results for a relaxed structure of Rb2SiHgH.

a = 6.9160 Å, b = 6.9160 Å, c = 4.6476 Å
α = 90.00°, β = 90.00°, γ = 90.00°
With the nearest neighbours (Å) after each atom.
Fractional coordinates of all 5 atoms:
1 Rb 0.0000 0.5000 0.0000  2 Hg 3.46
2 Rb 0.5000 0.0000 0.0000  2 Hg 3.46
3 Si 0.0000 0.0000 0.5000  2 Hg 2.32
4 Hg 0.0000 0.0000 0.0000  2 Si 2.32
5 H 0.5000 0.5000 0.5000  8 Rb 4.17, 2 H 4.65

Values from the calculation:
Its total energy is -9.01 eV per formula unit. The calculation puts the density at 2.99 g/cm3. As for the volume: 222.3 Å³ per cell.


DFT (PBE) results for a relaxed structure of Ac2DySb4Pt3.

a = 4.7266 Å, b = 4.7266 Å, c = 11.6066 Å
α = 90.00°, β = 90.00°, γ = 90.00°
With the nearest neighbours (Å) after each atom.
Fractional coordinates of all 10 atoms:
1 Ac 0.0000 0.5000 0.2313  8 Sb 3.58-3.61, 6 Pt 3.59-3.91, 2 Dy 3.91
2 Ac 0.5000 0.0000 0.7687  8 Sb 3.58-3.61, 6 Pt 3.59-3.91, 2 Dy 3.91
3 Dy 0.0000 0.0000 0.5000  4 Sb 2.94
4 Sb 0.0000 0.0000 0.0000  4 Pt 2.73
5 Sb 0.0000 0.5000 0.6512  3 Pt 2.68-2.94, 2 Dy 2.94
6 Sb 0.5000 0.0000 0.3488  3 Pt 2.68-2.94, 2 Dy 2.94
7 Sb 0.5000 0.5000 0.0000  4 Pt 2.73
8 Pt 0.0000 0.5000 0.8825  5 Sb 2.68-2.73
9 Pt 0.5000 0.0000 0.1175  5 Sb 2.68-2.73
10 Pt 0.5000 0.5000 0.5000  4 Sb 2.94

Values from the calculation:
For the formation energy from raw total energies, the calculation gives -0.895 eV per atom. The calculation puts the density at 10.82 g/cm3. As for the volume: 259.3 Å³ per cell.


DFT (PBE) results for a relaxed structure of KTa2Re.

a = 6.6984 Å, b = 6.6984 Å, c = 6.6984 Å
α = 90.00°, β = 90.00°, γ = 90.00°
With the nearest neighbours (Å) after each atom.
Fractional coordinates of all 16 atoms:
1 K 0.0000 0.0000 0.0000  8 Ta 2.90
2 K 0.0000 0.5000 0.5000  8 Ta 2.90
3 K 0.5000 0.0000 0.5000  8 Ta 2.90
4 K 0.5000 0.5000 0.0000  8 Ta 2.90
5 Ta 0.2500 0.2500 0.2500  4 K 2.90, 4 Re 2.90
6 Ta 0.2500 0.2500 0.7500  4 K 2.90, 4 Re 2.90
7 Ta 0.2500 0.7500 0.2500  4 Re 2.90, 4 K 2.90
8 Ta 0.2500 0.7500 0.7500  4 K 2.90, 4 Re 2.90
9 Ta 0.7500 0.2500 0.2500  4 Re 2.90, 4 K 2.90
10 Ta 0.7500 0.2500 0.7500  4 K 2.90, 4 Re 2.90
11 Ta 0.7500 0.7500 0.2500  4 K 2.90, 4 Re 2.90
12 Ta 0.7500 0.7500 0.7500  4 Re 2.90, 4 K 2.90
13 Re 0.0000 0.0000 0.5000  8 Ta 2.90
14 Re 0.0000 0.5000 0.0000  8 Ta 2.90
15 Re 0.5000 0.0000 0.0000  8 Ta 2.90
16 Re 0.5000 0.5000 0.5000  8 Ta 2.90

Values from the calculation:
The calculation puts the density at 12.98 g/cm3. The value obtained for the formation energy is 4.9 eV per formula unit. As for the volume: 300.6 Å³ per cell.


DFT (PBE) results for a relaxed structure of Ba2SeS.

a = 6.5783 Å, b = 6.5783 Å, c = 13.1328 Å
α = 90.00°, β = 90.00°, γ = 90.00°
With the nearest neighbours (Å) after each atom.
Fractional coordinates of all 16 atoms:
1 Ba 0.0000 0.2500 0.1195  3 S 3.21-3.29, 3 Se 3.29-3.36
2 Ba 0.0000 0.2500 0.6305  3 S 3.21-3.29, 3 Se 3.29-3.36
3 Ba 0.0000 0.7500 0.3695  3 S 3.21-3.29, 3 Se 3.29-3.36
4 Ba 0.0000 0.7500 0.8805  3 S 3.21-3.29, 3 Se 3.29-3.36
5 Ba 0.5000 0.2500 0.3805  3 S 3.21-3.29, 3 Se 3.29-3.36
6 Ba 0.5000 0.2500 0.8695  3 S 3.21-3.29, 3 Se 3.29-3.36
7 Ba 0.5000 0.7500 0.1305  3 S 3.21-3.29, 3 Se 3.29-3.36
8 Ba 0.5000 0.7500 0.6195  3 S 3.21-3.29, 3 Se 3.29-3.36
9 Se 0.0000 0.2500 0.3750  6 Ba 3.29-3.36
10 Se 0.0000 0.7500 0.6250  6 Ba 3.29-3.36
11 Se 0.5000 0.2500 0.1250  6 Ba 3.29-3.36
12 Se 0.5000 0.7500 0.8750  6 Ba 3.29-3.36
13 S 0.0000 0.2500 0.8750  6 Ba 3.21-3.29
14 S 0.0000 0.7500 0.1250  6 Ba 3.21-3.29
15 S 0.5000 0.2500 0.6250  6 Ba 3.21-3.29
16 S 0.5000 0.7500 0.3750  6 Ba 3.21-3.29

Values from the calculation:
For the formation energy from raw total energies, the calculation gives -2.059 eV per atom. The calculation puts the density at 4.51 g/cm3. As for the volume: 568.3 Å³ per cell.


DFT (PBE) results for a relaxed structure of TbNd2Sm6.

a = 7.7110 Å, b = 7.7110 Å, c = 6.0831 Å
α = 90.00°, β = 90.00°, γ = 120.00°
With the nearest neighbours (Å) after each atom.
Fractional coordinates of all 9 atoms:
1 Tb 0.0000 0.0000 0.0000  6 Sm 3.06
2 Nd 0.3333 0.6667 0.2163  12 Sm 3.59-3.89
3 Nd 0.6667 0.3333 0.7837  12 Sm 3.59-3.89
4 Sm 0.1883 0.3765 0.7129  1 Tb 3.06, 2 Sm 3.36
5 Sm 0.1883 0.8117 0.7129  1 Tb 3.06, 2 Sm 3.36
6 Sm 0.3765 0.1883 0.2871  1 Tb 3.06, 2 Sm 3.36
7 Sm 0.6235 0.8117 0.7129  1 Tb 3.06, 2 Sm 3.36
8 Sm 0.8117 0.1883 0.2871  1 Tb 3.06, 2 Sm 3.36
9 Sm 0.8117 0.6235 0.2871  1 Tb 3.06, 2 Sm 3.36

Values from the calculation:
The calculation puts the density at 7.15 g/cm3. The value obtained for the formation energy is 2.1 eV per formula unit. As for the volume: 313.3 Å³ per cell.


DFT (PBE) results for a relaxed structure of MnP3.

a = 2.7765 Å, b = 3.9734 Å, c = 5.7252 Å
α = 106.96°, β = 98.76°, γ = 102.62°
With the nearest neighbours (Å) after each atom.
Fractional coordinates of all 4 atoms:
1 Mn 0.0000 0.0000 0.0000  6 P 2.16-2.33
2 P 0.6519 0.1389 0.3359  2 Mn 2.26-2.27, 2 P 2.31-2.35
3 P 0.6534 0.4318 0.9823  3 Mn 2.16-2.25
4 P 0.7659 0.7459 0.5641  2 P 2.31-2.35, 1 Mn 2.33

Values from the calculation:
The calculation puts the density at 4.28 g/cm3. The value obtained for the formation energy is -0.2 eV per formula unit. As for the volume: 57.4 Å³ per cell.


DFT (PBE) results for a relaxed structure of LiNbInNi.

a = 6.2403 Å, b = 6.2403 Å, c = 6.2403 Å
α = 90.00°, β = 90.00°, γ = 90.00°
With the nearest neighbours (Å) after each atom.
Fractional coordinates of all 16 atoms:
1 Li 0.0000 0.0000 0.0000  4 Nb 2.70, 4 In 2.70
2 Li 0.0000 0.5000 0.5000  4 Nb 2.70, 4 In 2.70
3 Li 0.5000 0.0000 0.5000  4 Nb 2.70, 4 In 2.70
4 Li 0.5000 0.5000 0.0000  4 Nb 2.70, 4 In 2.70
5 Nb 0.2500 0.2500 0.2500  4 Ni 2.70, 4 Li 2.70
6 Nb 0.2500 0.7500 0.7500  4 Ni 2.70, 4 Li 2.70
7 Nb 0.7500 0.2500 0.7500  4 Ni 2.70, 4 Li 2.70
8 Nb 0.7500 0.7500 0.2500  4 Ni 2.70, 4 Li 2.70
9 In 0.2500 0.2500 0.7500  4 Li 2.70, 4 Ni 2.70
10 In 0.2500 0.7500 0.2500  4 Li 2.70, 4 Ni 2.70
11 In 0.7500 0.2500 0.2500  4 Li 2.70, 4 Ni 2.70
12 In 0.7500 0.7500 0.7500  4 Li 2.70, 4 Ni 2.70
13 Ni 0.0000 0.0000 0.5000  4 In 2.70, 4 Nb 2.70
14 Ni 0.0000 0.5000 0.0000  4 In 2.70, 4 Nb 2.70
15 Ni 0.5000 0.0000 0.0000  4 In 2.70, 4 Nb 2.70
16 Ni 0.5000 0.5000 0.5000  4 In 2.70, 4 Nb 2.70

Values from the calculation:
The calculation puts the density at 7.47 g/cm3. The value obtained for the formation energy is -0.2 eV per formula unit. As for the volume: 243.0 Å³ per cell.


DFT (PBE) results for a relaxed structure of LiLaPrTm.

a = 7.9525 Å, b = 7.9525 Å, c = 7.9525 Å
α = 90.00°, β = 90.00°, γ = 90.00°
With the nearest neighbours (Å) after each atom.
Fractional coordinates of all 16 atoms:
1 Li 0.0000 0.0000 0.0000  4 Pr 3.44, 4 La 3.44
2 Li 0.0000 0.5000 0.5000  4 Pr 3.44, 4 La 3.44
3 Li 0.5000 0.0000 0.5000  4 Pr 3.44, 4 La 3.44
4 Li 0.5000 0.5000 0.0000  4 Pr 3.44, 4 La 3.44
5 La 0.2500 0.2500 0.2500  4 Li 3.44, 4 Tm 3.44
6 La 0.2500 0.7500 0.7500  4 Li 3.44, 4 Tm 3.44
7 La 0.7500 0.2500 0.7500  4 Li 3.44, 4 Tm 3.44
8 La 0.7500 0.7500 0.2500  4 Li 3.44, 4 Tm 3.44
9 Pr 0.2500 0.2500 0.7500  4 Li 3.44, 4 Tm 3.44
10 Pr 0.2500 0.7500 0.2500  4 Li 3.44, 4 Tm 3.44
11 Pr 0.7500 0.2500 0.2500  4 Li 3.44, 4 Tm 3.44
12 Pr 0.7500 0.7500 0.7500  4 Tm 3.44, 4 Li 3.44
13 Tm 0.0000 0.0000 0.5000  4 La 3.44, 4 Pr 3.44
14 Tm 0.0000 0.5000 0.0000  4 La 3.44, 4 Pr 3.44
15 Tm 0.5000 0.0000 0.0000  4 La 3.44, 4 Pr 3.44
16 Tm 0.5000 0.5000 0.5000  4 La 3.44, 4 Pr 3.44

Values from the calculation:
The calculation puts the density at 6.02 g/cm3. The value obtained for the formation energy is 0.5 eV per formula unit. As for the volume: 502.9 Å³ per cell.


DFT (PBE) results for a relaxed structure of Ge2PtBr2.

a = 5.7238 Å, b = 5.7238 Å, c = 7.7348 Å
α = 90.00°, β = 90.00°, γ = 90.00°
With the nearest neighbours (Å) after each atom.
Fractional coordinates of all 10 atoms:
1 Ge 0.0000 0.5000 0.2500  4 Br 2.90
2 Ge 0.0000 0.5000 0.7500  4 Br 2.90
3 Ge 0.5000 0.0000 0.2500  4 Br 2.90
4 Ge 0.5000 0.0000 0.7500  4 Br 2.90
5 Pt 0.0000 0.0000 0.0000  2 Br 2.39
6 Pt 0.5000 0.5000 0.5000  2 Br 2.39
7 Br 0.0000 0.0000 0.3085  1 Pt 2.39
8 Br 0.0000 0.0000 0.6915  1 Pt 2.39
9 Br 0.5000 0.5000 0.1915  1 Pt 2.39
10 Br 0.5000 0.5000 0.8085  1 Pt 2.39

Values from the calculation:
For the formation energy from raw total energies, the calculation gives 0.413 eV per atom. The calculation puts the density at 6.56 g/cm3. As for the volume: 253.4 Å³ per cell.


DFT (PBE) results for a relaxed structure of TbSc2Co9.

a = 8.4086 Å, b = 8.4086 Å, c = 8.4086 Å
α = 33.84°, β = 33.84°, γ = 33.84°
With the nearest neighbours (Å) after each atom.
Fractional coordinates of all 12 atoms:
1 Tb 0.0000 0.0000 0.0000  18 Co 2.83-3.16
2 Sc 0.1412 0.1412 0.1412  12 Co 2.80-2.91, 3 Sc 3.07
3 Sc 0.8588 0.8588 0.8588  12 Co 2.80-2.91, 3 Sc 3.07
4 Co 0.0782 0.5872 0.5872  7 Co 2.40-2.49
5 Co 0.3354 0.3354 0.3354  6 Co 2.42-2.48
6 Co 0.4128 0.4128 0.9218  7 Co 2.40-2.49
7 Co 0.4128 0.9218 0.4128  7 Co 2.40-2.49
8 Co 0.5000 0.5000 0.5000  6 Co 2.43
9 Co 0.5872 0.0782 0.5872  7 Co 2.40-2.49
10 Co 0.5872 0.5872 0.0782  7 Co 2.40-2.49
11 Co 0.6646 0.6646 0.6646  6 Co 2.42-2.48
12 Co 0.9218 0.4128 0.4128  7 Co 2.40-2.49

Values from the calculation:
The calculation puts the density at 7.87 g/cm3. The value obtained for the formation energy is -3.0 eV per formula unit. As for the volume: 164.3 Å³ per cell.


DFT (PBE) results for a relaxed structure of RbCuSb3.

a = 6.0384 Å, b = 6.0384 Å, c = 6.0384 Å
α = 90.00°, β = 90.00°, γ = 90.00°
With the nearest neighbours (Å) after each atom.
Fractional coordinates of all 5 atoms:
1 Rb 0.0000 0.0000 0.0000  6 Sb 3.02
2 Cu 0.5000 0.5000 0.5000  12 Sb 4.27
3 Sb 0.0000 0.0000 0.5000  2 Rb 3.02
4 Sb 0.0000 0.5000 0.0000  2 Rb 3.02
5 Sb 0.5000 0.0000 0.0000  2 Rb 3.02

Values from the calculation:
For the formation energy from raw total energies, the calculation gives 1.783 eV per atom. The calculation puts the density at 3.88 g/cm3. As for the volume: 220.2 Å³ per cell.